Run A
First-principles (GGA-PBE) data for an optimized crystal structure of FeSiPtW, as listed in the Open Quantum Materials Database.

abc: 6.0725 6.0725 6.0725
angles: 90.00 90.00 90.00
Sites, in units of the cell vectors:
Fe (0.0000, 0.0000, 0.0000)
Fe (0.0000, 0.5000, 0.5000)
Fe (0.5000, 0.0000, 0.5000)
Fe (0.5000, 0.5000, 0.0000)
Si (0.2500, 0.2500, 0.7500)
Si (0.2500, 0.7500, 0.2500)
Si (0.7500, 0.2500, 0.2500)
Si (0.7500, 0.7500, 0.7500)
Pt (0.2500, 0.2500, 0.2500)
Pt (0.2500, 0.7500, 0.7500)
Pt (0.7500, 0.2500, 0.7500)
Pt (0.7500, 0.7500, 0.2500)
W (0.0000, 0.0000, 0.5000)
W (0.0000, 0.5000, 0.0000)
W (0.5000, 0.0000, 0.0000)
W (0.5000, 0.5000, 0.5000)

## Properties
Space group ... No. 216

---

Run B
First-principles (GGA-PBE) data for an optimized crystal structure of FeSiPtW, as listed in the Open Quantum Materials Database.

abc: 6.0942 6.0942 6.0942
angles: 90.00 90.00 90.00
Sites, in units of the cell vectors:
Fe (0.0000, 0.0000, 0.0000)
Fe (0.0000, 0.5000, 0.5000)
Fe (0.5000, 0.0000, 0.5000)
Fe (0.5000, 0.5000, 0.0000)
Si (0.2500, 0.2500, 0.7500)
Si (0.2500, 0.7500, 0.2500)
Si (0.7500, 0.2500, 0.2500)
Si (0.7500, 0.7500, 0.7500)
Pt (0.0000, 0.0000, 0.5000)
Pt (0.0000, 0.5000, 0.0000)
Pt (0.5000, 0.0000, 0.0000)
Pt (0.5000, 0.5000, 0.5000)
W (0.2500, 0.2500, 0.2500)
W (0.2500, 0.7500, 0.7500)
W (0.7500, 0.2500, 0.7500)
W (0.7500, 0.7500, 0.2500)

## Properties
Space group ... No. 216

---

Computed stability ranking, most favorable first: run A, run B

---

Run A
First-principles (GGA-PBE) data for an optimized crystal structure of BeFeCuB, as listed in the Open Quantum Materials Database.

abc: 5.2381 5.2381 5.2381
angles: 90.00 90.00 90.00
Sites, in units of the cell vectors:
Be (0.0000, 0.0000, 0.0000)
Be (0.0000, 0.5000, 0.5000)
Be (0.5000, 0.0000, 0.5000)
Be (0.5000, 0.5000, 0.0000)
Fe (0.0000, 0.0000, 0.5000)
Fe (0.0000, 0.5000, 0.0000)
Fe (0.5000, 0.0000, 0.0000)
Fe (0.5000, 0.5000, 0.5000)
Cu (0.2500, 0.2500, 0.2500)
Cu (0.2500, 0.7500, 0.7500)
Cu (0.7500, 0.2500, 0.7500)
Cu (0.7500, 0.7500, 0.2500)
B (0.2500, 0.2500, 0.7500)
B (0.2500, 0.7500, 0.2500)
B (0.7500, 0.2500, 0.2500)
B (0.7500, 0.7500, 0.7500)

## Properties
Space group ... No. 216

---

Run B
First-principles (GGA-PBE) data for an optimized crystal structure of BeFeCuB, as listed in the Open Quantum Materials Database.

abc: 5.1507 5.1507 5.1507
angles: 90.00 90.00 90.00
Sites, in units of the cell vectors:
Be (0.0000, 0.0000, 0.0000)
Be (0.0000, 0.5000, 0.5000)
Be (0.5000, 0.0000, 0.5000)
Be (0.5000, 0.5000, 0.0000)
Fe (0.2500, 0.2500, 0.2500)
Fe (0.2500, 0.7500, 0.7500)
Fe (0.7500, 0.2500, 0.7500)
Fe (0.7500, 0.7500, 0.2500)
Cu (0.2500, 0.2500, 0.7500)
Cu (0.2500, 0.7500, 0.2500)
Cu (0.7500, 0.2500, 0.2500)
Cu (0.7500, 0.7500, 0.7500)
B (0.0000, 0.0000, 0.5000)
B (0.0000, 0.5000, 0.0000)
B (0.5000, 0.0000, 0.0000)
B (0.5000, 0.5000, 0.5000)

## Properties
Space group ... No. 216

---

Computed stability ranking, most favorable first: run B, run A